# CrTeSeF2 | Alexandria via LeMat-Bulk | GGA+U | optimized geometry
# total energy: -25.05 eV per cell
# distance to the lowest polymorph of the same formula: 15 meV/atom
# space group: No. 123
data_CrTeSeF2
_space_group_name_H-M_alt 'P 1'
_space_group_IT_number 1
_cell_length_a 3.9998
_cell_length_b 3.9998
_cell_length_c 6.1627
_cell_angle_alpha 90.00
_cell_angle_beta 90.00
_cell_angle_gamma 90.00
loop_
_space_group_symop_operation_xyz
'x,y,z'
loop_
_atom_site_label
_atom_site_fract_x
_atom_site_fract_y
_atom_site_fract_z
_atom_site_occupancy
Cr1 0.0000 0.0000 0.0000 1
Te1 0.5000 0.5000 0.5000 1
Se1 0.0000 0.0000 0.5000 1
F1 0.0000 0.5000 0.0000 1
F2 0.5000 0.0000 0.0000 1